[1]
Nd4Ho3Sc2 | PBE-GGA | relaxed

Cell: 3.5922 6.5973 14.2275 Å, 63.77 90.00 105.80°
Sites, in units of the cell vectors:
Nd: 0.6522 0.3044 0.1281
Nd: 0.1061 0.2123 0.6144
Nd: 0.8939 0.7877 0.3856
Nd: 0.3478 0.6956 0.8719
Ho: 0.3762 0.7524 0.6132
Ho: 0.0000 0.0000 0.0000
Ho: 0.6238 0.2476 0.3868
Sc: 0.3384 0.6767 0.2079
Sc: 0.6616 0.3233 0.7921

Properties
SG   C2/m, No. 12
Crystal system   monoclinic
Energy of formation   0.089 eV/atom

[2]
Ta2MnHRh | PBE-GGA | relaxed

Cell: 4.2157 4.2157 3.5620 Å, 90.00 90.00 90.00°
Sites, in units of the cell vectors:
H: 0.0000 0.0000 0.0000
Mn: 0.0000 0.0000 0.5000
Rh: 0.5000 0.5000 0.5000
Ta: 0.0000 0.5000 0.0000
Ta: 0.5000 0.0000 0.0000

Properties
Polymorph energy (0 for the lowest one)   0.0 meV per atom
SG   P4/mmm, No. 123
Crystal system   tetragonal

[3]
Be2ZnSn2Rh5 | PBE-GGA | relaxed

Cell: 3.1543 9.4373 9.4373 Å, 90.00 90.00 90.00°
Sites, in units of the cell vectors:
Be: 0.0000 0.1270 0.6270
Be: 0.0000 0.8730 0.3730
Be: 0.0000 0.6270 0.8730
Be: 0.0000 0.3730 0.1270
Zn: 0.0000 0.0000 0.0000
Zn: 0.0000 0.5000 0.5000
Sn: 0.0000 0.6727 0.1727
Sn: 0.0000 0.3273 0.8273
Sn: 0.0000 0.1727 0.3273
Sn: 0.0000 0.8273 0.6727
Rh: 0.5000 0.2032 0.0817
Rh: 0.5000 0.7968 0.9183
Rh: 0.5000 0.0817 0.7968
Rh: 0.5000 0.7032 0.4183
Rh: 0.5000 0.9183 0.2032
Rh: 0.5000 0.2968 0.5817
Rh: 0.5000 0.5817 0.7032
Rh: 0.5000 0.4183 0.2968
Rh: 0.5000 0.5000 0.0000
Rh: 0.5000 0.0000 0.5000

Properties
SG   P4/mbm, No. 127
Crystal system   tetragonal
Energy of formation   -0.435 eV/atom

[4]
CsInGa2 | PBE-GGA | relaxed

Cell: 4.7007 4.7007 7.7079 Å, 72.25 72.25 60.00°
Sites, in units of the cell vectors:
Cs: 0.5000 0.5000 0.5000
Ga: 0.2908 0.2908 0.1277
Ga: 0.7092 0.7092 0.8723
In: 0.0000 0.0000 0.0000

Properties
SG   R-3m, No. 166
Crystal system   trigonal
Energy of formation   -0.030 eV/atom

Question: What is the formula in the first record?
Answer: Nd4Ho3Sc2